## A
A plane-wave DFT calculation with SCAN was carried out for KAg2Cl at its PBEsol-relaxed geometry.

Summary:
Volume in A^3/atom: 24.45

a = 3.6958 Å, b = 4.2367 Å, c = 6.2456 Å
α = 90.00°, β = 90.00°, γ = 90.00°
Last column: nearest neighbours and their distance in Å.
Element x y z (fractional)
Ag1 0.5000 0.5000 0.0000  4 Ag 2.81
Cl1 0.5000 0.0000 0.5000  4 K 2.81
Ag2 0.0000 0.0000 0.0000  4 Ag 2.81
K1 0.0000 0.5000 0.5000  4 Cl 2.81


## B
A plane-wave DFT calculation with SCAN was carried out for KAg2Cl at its PBEsol-relaxed geometry.

Summary:
Volume in A^3/atom: 24.46

a = 2.9361 Å, b = 5.4823 Å, c = 6.6682 Å
α = 114.27°, β = 90.00°, γ = 90.00°
Last column: nearest neighbours and their distance in Å.
Element x y z (fractional)
Ag1 0.0000 0.5000 0.5000  4 Ag 2.74-2.94
K1 0.5000 0.5000 0.0000  2 Cl 2.74, 2 K 2.94
Ag2 0.0000 0.0000 0.5000  4 Ag 2.74-2.94
Cl1 0.5000 0.0000 0.0000  2 K 2.74, 2 Cl 2.94


The structure with the greatest stability is A.